# 1
Here is a relaxed RbBaNdTe3 crystal from the Open Quantum Materials Database. Energies are from GGA-PBE.

Output
* distance to the lowest polymorph of the same formula: 0.000 eV per atom
* final energy: -103.66 eV per cell
* ρ: 5.00 g/cm3

CIF file:
```
data_RbBaNdTe3
_chemical_formula_sum 'Rb4 Ba4 Nd4 Te12'
_space_group_name_H-M_alt 'P n m a'
_space_group_IT_number 62
_cell_length_a 13.8246
_cell_length_b 4.7463
_cell_length_c 15.1906
_cell_angle_alpha 90.00
_cell_angle_beta 90.00
_cell_angle_gamma 90.00
loop_
_space_group_symop_operation_xyz
'x,y,z'
'-x,-y,-z'
'-x+1/2,-y,z+1/2'
'x+1/2,y,-z+1/2'
'x+1/2,-y+1/2,-z+1/2'
'-x+1/2,y+1/2,z+1/2'
'-x,y+1/2,-z'
'x,-y+1/2,z'
loop_
_atom_site_label
_atom_site_type_symbol
_atom_site_fract_x
_atom_site_fract_y
_atom_site_fract_z
Rb1 Rb 0.1194 0.2500 0.0724
Ba1 Ba 0.1266 0.2500 0.4168
Nd1 Nd 0.1150 0.2500 0.7434
Te1 Te 0.1139 0.7500 0.2542
Te2 Te 0.1242 0.7500 0.5954
Te3 Te 0.1306 0.7500 0.8802
```


# 2
Here is a relaxed RbBaNdTe3 crystal from the Open Quantum Materials Database. Energies are from GGA-PBE.

Output
* distance to the lowest polymorph of the same formula: 0.321 eV per atom
* final energy: -95.97 eV per cell
* ρ: 4.95 g/cm3

CIF file:
```
data_RbBaNdTe3
_chemical_formula_sum 'Rb4 Ba4 Nd4 Te12'
_space_group_name_H-M_alt 'C m c m'
_space_group_IT_number 63
_space_group_name_Hall '-C 2c 2'
_cell_length_a 4.9886
_cell_length_b 16.0467
_cell_length_c 12.5618
_cell_angle_alpha 90.00
_cell_angle_beta 90.00
_cell_angle_gamma 90.00
loop_
_atom_site_label
_atom_site_type_symbol
_atom_site_fract_x
_atom_site_fract_y
_atom_site_fract_z
Rb1 Rb 0.0000 0.0495 0.2500
Ba1 Ba 0.0000 0.2262 0.7500
Nd1 Nd 0.0000 0.5000 0.0000
Te1 Te 0.0000 0.1363 0.0145
Te2 Te 0.0000 0.4173 0.2500
```


# 3
Here is a relaxed BaNdRe crystal from the Open Quantum Materials Database. Energies are from GGA-PBE.

Output
* final energy: -55.51 eV per cell
* ρ: 8.65 g/cm3

CIF file:
```
data_BaNdRe
_chemical_formula_sum 'Ba4 Nd4 Re4'
_space_group_name_H-M_alt 'F -4 3 m'
_space_group_IT_number 216
_space_group_name_Hall 'F -4 2 3'
_cell_length_a 7.1078
_cell_length_b 7.1078
_cell_length_c 7.1078
_cell_angle_alpha 90.00
_cell_angle_beta 90.00
_cell_angle_gamma 90.00
loop_
_atom_site_label
_atom_site_type_symbol
_atom_site_fract_x
_atom_site_fract_y
_atom_site_fract_z
Ba1 Ba 0.0000 0.0000 0.0000
Nd1 Nd 0.2500 0.2500 0.7500
Re1 Re 0.2500 0.2500 0.2500
```


# 4
Here is a relaxed BaNd2S3 crystal from the Open Quantum Materials Database. Energies are from GGA-PBE.

Output
* final energy: -35.98 eV per cell
* ρ: 5.49 g/cm3

CIF file:
```
data_BaNd2S3
_chemical_formula_sum 'Ba1 Nd2 S3'
_space_group_name_H-M_alt 'P -3 m 1'
_space_group_IT_number 164
_space_group_name_Hall '-P 3 2"'
_cell_length_a 4.1773
_cell_length_b 4.1773
_cell_length_c 10.4505
_cell_angle_alpha 90.00
_cell_angle_beta 90.00
_cell_angle_gamma 120.00
loop_
_atom_site_label
_atom_site_type_symbol
_atom_site_fract_x
_atom_site_fract_y
_atom_site_fract_z
Ba1 Ba 0.0000 0.0000 0.0000
Nd1 Nd 0.3333 0.6667 0.6502
S1 S 0.0000 0.0000 0.5000
S2 S 0.3333 0.6667 0.1927
```


# 5
Here is a relaxed BaNd2S4 crystal from the Open Quantum Materials Database. Energies are from GGA-PBE.

Output
* final energy: -170.59 eV per cell
* ρ: 4.72 g/cm3

CIF file:
```
data_BaNd2S4
_chemical_formula_sum 'Ba4 Nd8 S16'
_space_group_name_H-M_alt 'P n m a'
_space_group_IT_number 62
_cell_length_a 12.4452
_cell_length_b 4.1920
_cell_length_c 14.9589
_cell_angle_alpha 90.00
_cell_angle_beta 90.00
_cell_angle_gamma 90.00
loop_
_space_group_symop_operation_xyz
'x,y,z'
'-x,-y,-z'
'-x+1/2,-y,z+1/2'
'x+1/2,y,-z+1/2'
'x+1/2,-y+1/2,-z+1/2'
'-x+1/2,y+1/2,z+1/2'
'-x,y+1/2,-z'
'x,-y+1/2,z'
loop_
_atom_site_label
_atom_site_type_symbol
_atom_site_fract_x
_atom_site_fract_y
_atom_site_fract_z
Ba1 Ba 0.2437 0.2500 0.1597
Nd1 Nd 0.0734 0.2500 0.3922
Nd2 Nd 0.0784 0.2500 0.8963
S1 S 0.0206 0.7500 0.7824
S2 S 0.0802 0.2500 0.5796
S3 S 0.1299 0.7500 0.0230
S4 S 0.2084 0.7500 0.3261
```


# 6
Here is a relaxed BaNdS2 crystal from the Open Quantum Materials Database. Energies are from GGA-PBE.

Output
* final energy: -22.59 eV per cell
* ρ: 5.13 g/cm3

CIF file:
```
data_BaNdS2
_chemical_formula_sum 'Ba1 Nd1 S2'
_space_group_name_H-M_alt 'P 4/m m m'
_space_group_IT_number 123
_space_group_name_Hall '-P 4 2'
_cell_length_a 4.2970
_cell_length_b 4.2970
_cell_length_c 6.0633
_cell_angle_alpha 90.00
_cell_angle_beta 90.00
_cell_angle_gamma 90.00
loop_
_atom_site_label
_atom_site_type_symbol
_atom_site_fract_x
_atom_site_fract_y
_atom_site_fract_z
Ba1 Ba 0.0000 0.0000 0.0000
Nd1 Nd 0.5000 0.5000 0.5000
S1 S 0.0000 0.0000 0.5000
S2 S 0.5000 0.5000 0.0000
```


# 7
Here is a relaxed BaNdSn2S6 crystal from the Open Quantum Materials Database. Energies are from GGA-PBE.

Output
* final energy: -205.06 eV per cell
* ρ: 4.80 g/cm3

CIF file:
```
data_BaNdSn2S6
_chemical_formula_sum 'Ba4 Nd4 Sn8 S24'
_space_group_name_H-M_alt 'P m c 21'
_space_group_IT_number 26
_cell_length_a 4.0378
_cell_length_b 20.2081
_cell_length_c 12.0593
_cell_angle_alpha 90.00
_cell_angle_beta 90.00
_cell_angle_gamma 90.00
loop_
_space_group_symop_operation_xyz
'x,y,z'
'-x,-y,z+1/2'
'-x,y,z'
'x,-y,z+1/2'
loop_
_atom_site_label
_atom_site_type_symbol
_atom_site_fract_x
_atom_site_fract_y
_atom_site_fract_z
Ba1 Ba 0.0000 0.0787 0.0000
Ba2 Ba 0.0000 0.3645 0.5637
Nd1 Nd 0.0000 0.1216 0.6344
Nd2 Nd 0.0000 0.4189 0.9410
Sn1 Sn 0.0000 0.2535 0.2207
Sn2 Sn 0.5000 0.0907 0.3246
Sn3 Sn 0.5000 0.2492 0.8154
Sn4 Sn 0.5000 0.4249 0.2670
S1 S 0.0000 0.0143 0.2595
S2 S 0.0000 0.1657 0.3975
S3 S 0.0000 0.2597 0.9380
S4 S 0.0000 0.4947 0.2231
S5 S 0.5000 0.0432 0.5230
S6 S 0.5000 0.1220 0.8117
S7 S 0.5000 0.1603 0.1505
S8 S 0.5000 0.2314 0.6125
S9 S 0.5000 0.3183 0.3656
S10 S 0.5000 0.3633 0.0854
S11 S 0.5000 0.3732 0.7798
S12 S 0.5000 0.4774 0.4636
```


# 8
Here is a relaxed BaNdSb crystal from the Open Quantum Materials Database. Energies are from GGA-PBE.

Output
* distance to the lowest polymorph of the same formula: 0.000 eV per atom
* final energy: -50.07 eV per cell
* ρ: 5.61 g/cm3

CIF file:
```
data_BaNdSb
_chemical_formula_sum 'Ba4 Nd4 Sb4'
_space_group_name_H-M_alt 'F -4 3 m'
_space_group_IT_number 216
_space_group_name_Hall 'F -4 2 3'
_cell_length_a 7.8160
_cell_length_b 7.8160
_cell_length_c 7.8160
_cell_angle_alpha 90.00
_cell_angle_beta 90.00
_cell_angle_gamma 90.00
loop_
_atom_site_label
_atom_site_type_symbol
_atom_site_fract_x
_atom_site_fract_y
_atom_site_fract_z
Ba1 Ba 0.0000 0.0000 0.0000
Nd1 Nd 0.0000 0.0000 0.5000
Sb1 Sb 0.2500 0.2500 0.2500
```


# 9
Here is a relaxed BaNd2Se3 crystal from the Open Quantum Materials Database. Energies are from GGA-PBE.

Output
* final energy: -33.27 eV per cell
* ρ: 6.24 g/cm3

CIF file:
```
data_BaNd2Se3
_chemical_formula_sum 'Ba1 Nd2 Se3'
_space_group_name_H-M_alt 'P -3 m 1'
_space_group_IT_number 164
_space_group_name_Hall '-P 3 2"'
_cell_length_a 4.3407
_cell_length_b 4.3407
_cell_length_c 10.8155
_cell_angle_alpha 90.00
_cell_angle_beta 90.00
_cell_angle_gamma 120.00
loop_
_atom_site_label
_atom_site_type_symbol
_atom_site_fract_x
_atom_site_fract_y
_atom_site_fract_z
Ba1 Ba 0.0000 0.0000 0.0000
Nd1 Nd 0.3333 0.6667 0.6492
Se1 Se 0.0000 0.0000 0.5000
Se2 Se 0.3333 0.6667 0.1917
```


# 10
Here is a relaxed Ba2NdSe3 crystal from the Open Quantum Materials Database. Energies are from GGA-PBE.

Output
* final energy: -30.75 eV per cell
* ρ: 5.54 g/cm3

CIF file:
```
data_Ba2NdSe3
_chemical_formula_sum 'Ba2 Nd1 Se3'
_space_group_name_H-M_alt 'P -3 m 1'
_space_group_IT_number 164
_space_group_name_Hall '-P 3 2"'
_cell_length_a 4.4805
_cell_length_b 4.4805
_cell_length_c 11.3015
_cell_angle_alpha 90.00
_cell_angle_beta 90.00
_cell_angle_gamma 120.00
loop_
_atom_site_label
_atom_site_type_symbol
_atom_site_fract_x
_atom_site_fract_y
_atom_site_fract_z
Ba1 Ba 0.3333 0.6667 0.1752
Nd1 Nd 0.0000 0.0000 0.5000
Se1 Se 0.0000 0.0000 0.0000
Se2 Se 0.3333 0.6667 0.6432
```


# 11
Here is a relaxed BaNdSnSe3 crystal from the Open Quantum Materials Database. Energies are from GGA-PBE.

Output
* final energy: -115.14 eV per cell
* ρ: 5.78 g/cm3

CIF file:
```
data_BaNdSnSe3
_chemical_formula_sum 'Ba4 Nd4 Sn4 Se12'
_space_group_name_H-M_alt 'C m c m'
_space_group_IT_number 63
_space_group_name_Hall '-C 2c 2'
_cell_length_a 4.4428
_cell_length_b 15.7037
_cell_length_c 10.4871
_cell_angle_alpha 90.00
_cell_angle_beta 90.00
_cell_angle_gamma 90.00
loop_
_atom_site_label
_atom_site_type_symbol
_atom_site_fract_x
_atom_site_fract_y
_atom_site_fract_z
Ba1 Ba 0.0000 0.2376 0.2500
Nd1 Nd 0.0000 0.0000 0.0000
Sn1 Sn 0.0000 0.4744 0.7500
Se1 Se 0.0000 0.1151 0.7500
Se2 Se 0.0000 0.3654 0.5401
```


# 12
Here is a relaxed BaNdTlSe3 crystal from the Open Quantum Materials Database. Energies are from GGA-PBE.

Output
* final energy: -109.78 eV per cell
* ρ: 6.29 g/cm3

CIF file:
```
data_BaNdTlSe3
_chemical_formula_sum 'Ba4 Nd4 Tl4 Se12'
_space_group_name_H-M_alt 'C m c m'
_space_group_IT_number 63
_space_group_name_Hall '-C 2c 2'
_cell_length_a 4.5197
_cell_length_b 14.8228
_cell_length_c 11.3856
_cell_angle_alpha 90.00
_cell_angle_beta 90.00
_cell_angle_gamma 90.00
loop_
_atom_site_label
_atom_site_type_symbol
_atom_site_fract_x
_atom_site_fract_y
_atom_site_fract_z
Ba1 Ba 0.0000 0.2495 0.2500
Nd1 Nd 0.0000 0.5000 0.0000
Tl1 Tl 0.0000 0.0329 0.7500
Se1 Se 0.0000 0.1392 0.5260
Se2 Se 0.0000 0.4058 0.7500
```


# 13
Here is a relaxed BaNdSi3 crystal from the Open Quantum Materials Database. Energies are from GGA-PBE.

Output
* final energy: -46.87 eV per cell
* ρ: 4.67 g/cm3

CIF file:
```
data_BaNdSi3
_chemical_formula_sum 'Ba2 Nd2 Si6'
_space_group_name_H-M_alt 'I 4 m m'
_space_group_IT_number 107
_space_group_name_Hall 'I 4 -2'
_cell_length_a 4.3980
_cell_length_b 4.3980
_cell_length_c 13.4564
_cell_angle_alpha 90.00
_cell_angle_beta 90.00
_cell_angle_gamma 90.00
loop_
_atom_site_label
_atom_site_type_symbol
_atom_site_fract_x
_atom_site_fract_y
_atom_site_fract_z
Ba1 Ba 0.0000 0.0000 0.0000
Nd1 Nd 0.0000 0.0000 0.6736
Si1 Si 0.0000 0.0000 0.4243
Si2 Si 0.0000 0.5000 0.3211
```


# 14
Here is a relaxed BaNdSnTe3 crystal from the Open Quantum Materials Database. Energies are from GGA-PBE.

Output
* final energy: -105.28 eV per cell
* ρ: 6.06 g/cm3

CIF file:
```
data_BaNdSnTe3
_chemical_formula_sum 'Ba4 Nd4 Sn4 Te12'
_space_group_name_H-M_alt 'C m c m'
_space_group_IT_number 63
_space_group_name_Hall '-C 2c 2'
_cell_length_a 4.6290
_cell_length_b 16.6974
_cell_length_c 11.1063
_cell_angle_alpha 90.00
_cell_angle_beta 90.00
_cell_angle_gamma 90.00
loop_
_atom_site_label
_atom_site_type_symbol
_atom_site_fract_x
_atom_site_fract_y
_atom_site_fract_z
Ba1 Ba 0.0000 0.2287 0.2500
Nd1 Nd 0.0000 0.0000 0.0000
Sn1 Sn 0.0000 0.4780 0.7500
Te1 Te 0.0000 0.1152 0.7500
Te2 Te 0.0000 0.3627 0.5384
```


# 15
Here is a relaxed BaSrNd crystal from the Open Quantum Materials Database. Energies are from GGA-PBE.

Output
* final energy: -24.10 eV per cell
* ρ: 3.81 g/cm3

CIF file:
```
data_BaSrNd
_chemical_formula_sum 'Ba4 Sr4 Nd4'
_space_group_name_H-M_alt 'F -4 3 m'
_space_group_IT_number 216
_space_group_name_Hall 'F -4 2 3'
_cell_length_a 8.6312
_cell_length_b 8.6312
_cell_length_c 8.6312
_cell_angle_alpha 90.00
_cell_angle_beta 90.00
_cell_angle_gamma 90.00
loop_
_atom_site_label
_atom_site_type_symbol
_atom_site_fract_x
_atom_site_fract_y
_atom_site_fract_z
Ba1 Ba 0.0000 0.0000 0.0000
Sr1 Sr 0.2500 0.2500 0.2500
Nd1 Nd 0.2500 0.2500 0.7500
```


# 16
Here is a relaxed BaNdTc crystal from the Open Quantum Materials Database. Energies are from GGA-PBE.

Output
* final energy: -50.86 eV per cell
* ρ: 6.96 g/cm3

CIF file:
```
data_BaNdTc
_chemical_formula_sum 'Ba4 Nd4 Tc4'
_space_group_name_H-M_alt 'F -4 3 m'
_space_group_IT_number 216
_space_group_name_Hall 'F -4 2 3'
_cell_length_a 7.1298
_cell_length_b 7.1298
_cell_length_c 7.1298
_cell_angle_alpha 90.00
_cell_angle_beta 90.00
_cell_angle_gamma 90.00
loop_
_atom_site_label
_atom_site_type_symbol
_atom_site_fract_x
_atom_site_fract_y
_atom_site_fract_z
Ba1 Ba 0.0000 0.0000 0.0000
Nd1 Nd 0.2500 0.2500 0.7500
Tc1 Tc 0.2500 0.2500 0.2500
```


# 17
Here is a relaxed Ba2NdTe3 crystal from the Open Quantum Materials Database. Energies are from GGA-PBE.

Output
* final energy: -27.88 eV per cell
* ρ: 5.64 g/cm3

CIF file:
```
data_Ba2NdTe3
_chemical_formula_sum 'Ba2 Nd1 Te3'
_space_group_name_H-M_alt 'P -3 m 1'
_space_group_IT_number 164
_space_group_name_Hall '-P 3 2"'
_cell_length_a 4.7682
_cell_length_b 4.7682
_cell_length_c 11.9931
_cell_angle_alpha 90.00
_cell_angle_beta 90.00
_cell_angle_gamma 120.00
loop_
_atom_site_label
_atom_site_type_symbol
_atom_site_fract_x
_atom_site_fract_y
_atom_site_fract_z
Ba1 Ba 0.3333 0.6667 0.1760
Nd1 Nd 0.0000 0.0000 0.5000
Te1 Te 0.0000 0.0000 0.0000
Te2 Te 0.3333 0.6667 0.6445
```


# 18
Here is a relaxed BaNdTlTe3 crystal from the Open Quantum Materials Database. Energies are from GGA-PBE.

Output
* final energy: -100.00 eV per cell
* ρ: 6.51 g/cm3

CIF file:
```
data_BaNdTlTe3
_chemical_formula_sum 'Ba4 Nd4 Tl4 Te12'
_space_group_name_H-M_alt 'C m c m'
_space_group_IT_number 63
_space_group_name_Hall '-C 2c 2'
_cell_length_a 4.7350
_cell_length_b 15.6721
_cell_length_c 11.9438
_cell_angle_alpha 90.00
_cell_angle_beta 90.00
_cell_angle_gamma 90.00
loop_
_atom_site_label
_atom_site_type_symbol
_atom_site_fract_x
_atom_site_fract_y
_atom_site_fract_z
Ba1 Ba 0.0000 0.2404 0.2500
Nd1 Nd 0.0000 0.0000 0.0000
Tl1 Tl 0.0000 0.4698 0.7500
Te1 Te 0.0000 0.0992 0.7500
Te2 Te 0.0000 0.3557 0.5302
```


# 19
Here is a relaxed BaNdZnTe3 crystal from the Open Quantum Materials Database. Energies are from GGA-PBE.

Output
* final energy: -96.99 eV per cell
* ρ: 5.86 g/cm3

CIF file:
```
data_BaNdZnTe3
_chemical_formula_sum 'Ba4 Nd4 Zn4 Te12'
_space_group_name_H-M_alt 'C m c m'
_space_group_IT_number 63
_space_group_name_Hall '-C 2c 2'
_cell_length_a 4.7237
_cell_length_b 14.7974
_cell_length_c 11.8297
_cell_angle_alpha 90.00
_cell_angle_beta 90.00
_cell_angle_gamma 90.00
loop_
_atom_site_label
_atom_site_type_symbol
_atom_site_fract_x
_atom_site_fract_y
_atom_site_fract_z
Ba1 Ba 0.0000 0.2447 0.2500
Nd1 Nd 0.0000 0.0000 0.0000
Zn1 Zn 0.0000 0.4782 0.7500
Te1 Te 0.0000 0.0729 0.7500
Te2 Te 0.0000 0.3607 0.5692
```


# 20
Here is a relaxed BaNdTh crystal from the Open Quantum Materials Database. Energies are from GGA-PBE.

Output
* distance to the lowest polymorph of the same formula: 0.000 eV per atom
* final energy: -44.91 eV per cell
* ρ: 6.39 g/cm3

CIF file:
```
data_BaNdTh
_chemical_formula_sum 'Ba4 Nd4 Th4'
_space_group_name_H-M_alt 'F -4 3 m'
_space_group_IT_number 216
_space_group_name_Hall 'F -4 2 3'
_cell_length_a 8.1140
_cell_length_b 8.1140
_cell_length_c 8.1140
_cell_angle_alpha 90.00
_cell_angle_beta 90.00
_cell_angle_gamma 90.00
loop_
_atom_site_label
_atom_site_type_symbol
_atom_site_fract_x
_atom_site_fract_y
_atom_site_fract_z
Ba1 Ba 0.0000 0.0000 0.0000
Nd1 Nd 0.2500 0.2500 0.2500
Th1 Th 0.0000 0.0000 0.5000
```